Co5SbO8 after structural relaxation, computed with GGA+U.

Cell lengths 6.1391, 6.1391, 10.3755 Å; angles 74.05, 74.05, 58.85 degrees
Last column: nearest neighbours and their distance in Å.
Fractional coordinates of all 28 atoms:
Co1 0.5438 0.0521 0.8210  4 O 2.00-2.03
Co2 0.0000 0.0000 0.0000  4 O 1.91-2.03
Co3 0.4562 0.9479 0.1790  4 O 2.00-2.03
Co4 0.5000 0.5000 0.5000  6 O 2.09-2.13
Co5 0.0521 0.5438 0.3210  4 O 2.00-2.03
Co6 0.2470 0.7530 0.7500  6 O 2.05-2.16
Co7 0.7530 0.2470 0.2500  6 O 2.05-2.16
Co8 0.5000 0.5000 0.0000  6 O 2.09-2.13
Co9 0.0000 0.0000 0.5000  4 O 1.91-2.03
Co10 0.9479 0.4562 0.6790  4 O 2.00-2.03
O1 0.6028 0.6538 0.6188  3 Co 2.00-2.12, 1 Sb 2.01
O2 0.3311 0.8714 0.8882  4 Co 1.91-2.09
O3 0.8875 0.8607 0.8897  3 Co 2.03-2.16, 1 Sb 2.04
O4 0.8607 0.8875 0.3897  3 Co 2.03-2.16, 1 Sb 2.04
O5 0.1286 0.6689 0.6118  4 Co 1.91-2.09
O6 0.1252 0.6106 0.1174  3 Co 2.01-2.19, 1 Sb 2.01
O7 0.3894 0.8748 0.3826  3 Co 2.01-2.19, 1 Sb 2.01
O8 0.3462 0.3972 0.8812  3 Co 2.00-2.12, 1 Sb 2.01
O9 0.8714 0.3311 0.3882  4 Co 1.91-2.09
O10 0.6689 0.1286 0.1118  4 Co 1.91-2.09
O11 0.6106 0.1252 0.6174  3 Co 2.01-2.19, 1 Sb 2.01
O12 0.8748 0.3894 0.8826  3 Co 2.01-2.19, 1 Sb 2.01
O13 0.3972 0.3462 0.3812  3 Co 2.00-2.12, 1 Sb 2.01
O14 0.1125 0.1393 0.1103  3 Co 2.03-2.16, 1 Sb 2.04
O15 0.1393 0.1125 0.6103  3 Co 2.03-2.16, 1 Sb 2.04
O16 0.6538 0.6028 0.1188  3 Co 2.00-2.12, 1 Sb 2.01
Sb1 0.5000 0.0000 0.5000  6 O 2.01-2.04
Sb2 0.0000 0.5000 0.0000  6 O 2.01-2.04

Summary:
distance to the lowest polymorph of the same formula: 0.000 eV/atom
symmetry: C2/c, No. 15